# 1
VASP calculation (PBE) on a geometry-optimized BiPd6Pb3 structure.

The distance to the lowest polymorph of the same formula is 0 meV/atom. For the volume, the calculation gives 408 Å³ per cell. The energy of formation from the pure elements is -229 meV per atom.

Lattice parameters (Å, degrees): 4.675 9.888 10.090 119.06 90.00 90.00
Sites, in units of the cell vectors:
Bi (0.250, 0.879, 0.549)
Bi (0.750, 0.121, 0.451)
Pd (0.250, 0.584, 0.069)
Pd (0.750, 0.416, 0.931)
Pd (0.250, 0.158, 0.189)
Pd (0.750, 0.842, 0.811)
Pd (0.250, 0.639, 0.630)
Pd (0.750, 0.361, 0.370)
Pd (0.250, 0.307, 0.506)
Pd (0.750, 0.693, 0.494)
Pd (0.250, 0.932, 0.292)
Pd (0.750, 0.068, 0.708)
Pd (0.250, 0.033, 0.864)
Pd (0.750, 0.967, 0.136)
Pb (0.250, 0.483, 0.296)
Pb (0.750, 0.517, 0.704)
Pb (0.250, 0.285, 0.780)
Pb (0.750, 0.715, 0.220)
Pb (0.250, 0.802, 0.961)
Pb (0.750, 0.198, 0.039)



# 2
VASP calculation (PBE) on a geometry-optimized Bi3Pd8Pb2 structure.

For the volume, the calculation gives 271 Å³ per cell. The energy of formation from the pure elements is -95 meV per atom.

Lattice parameters (Å, degrees): 5.519 5.519 10.750 75.13 75.13 60.00
Sites, in units of the cell vectors:
Bi (0.000, 0.000, 0.000)
Bi (0.809, 0.809, 0.573)
Bi (0.191, 0.191, 0.427)
Pd (0.721, 0.721, 0.836)
Pd (0.279, 0.279, 0.164)
Pd (0.221, 0.728, 0.324)
Pd (0.728, 0.221, 0.324)
Pd (0.728, 0.728, 0.324)
Pd (0.272, 0.779, 0.676)
Pd (0.779, 0.272, 0.676)
Pd (0.272, 0.272, 0.676)
Pb (0.633, 0.633, 0.102)
Pb (0.367, 0.367, 0.898)



# 3
VASP calculation (PBE) on a geometry-optimized Bi3Pd12Pb structure.

The distance to the lowest polymorph of the same formula is 0 meV/atom. For the volume, the calculation gives 282 Å³ per cell. The energy of formation from the pure elements is -248 meV per atom.

Lattice parameters (Å, degrees): 5.037 5.874 9.546 90.00 90.00 90.00
Sites, in units of the cell vectors:
Bi (0.147, 0.500, 0.000)
Bi (0.500, 0.000, 0.250)
Bi (0.500, 0.000, 0.750)
Pd (0.000, 0.251, 0.252)
Pd (0.000, 0.251, 0.748)
Pd (0.000, 0.749, 0.252)
Pd (0.000, 0.749, 0.748)
Pd (0.345, 0.252, 0.500)
Pd (0.656, 0.250, 0.000)
Pd (0.656, 0.750, 0.000)
Pd (0.345, 0.748, 0.500)
Pd (0.860, 0.000, 0.500)
Pd (0.141, 0.000, 0.000)
Pd (0.502, 0.500, 0.250)
Pd (0.502, 0.500, 0.750)
Pb (0.849, 0.500, 0.500)



# 4
VASP calculation (PBE) on a geometry-optimized BiPd7Pb2 structure.

For the volume, the calculation gives 212 Å³ per cell. The energy of formation from the pure elements is 78 meV per atom.

Lattice parameters (Å, degrees): 3.096 9.093 9.093 124.18 90.00 90.00
Sites, in units of the cell vectors:
Bi (0.000, 0.000, 0.000)
Pd (0.000, 0.821, 0.179)
Pd (0.000, 0.179, 0.821)
Pd (0.500, 0.136, 0.317)
Pd (0.500, 0.864, 0.683)
Pd (0.500, 0.317, 0.136)
Pd (0.500, 0.683, 0.864)
Pd (0.500, 0.500, 0.500)
Pb (0.500, 0.679, 0.321)
Pb (0.500, 0.321, 0.679)



# 5
VASP calculation (PBE) on a geometry-optimized Bi5Pd12Pb2 structure.

For the volume, the calculation gives 410 Å³ per cell. The energy of formation from the pure elements is -142 meV per atom.

Lattice parameters (Å, degrees): 7.393 8.635 7.292 101.95 90.00 115.35
Sites, in units of the cell vectors:
Bi (0.222, 0.445, 0.613)
Bi (0.283, 0.567, 0.208)
Bi (0.000, 0.000, 0.500)
Bi (0.717, 0.433, 0.792)
Bi (0.778, 0.555, 0.387)
Pd (0.101, 0.201, 0.219)
Pd (0.128, 0.642, 0.912)
Pd (0.515, 0.642, 0.912)
Pd (0.188, 0.761, 0.552)
Pd (0.573, 0.761, 0.552)
Pd (0.535, 0.070, 0.709)
Pd (0.465, 0.930, 0.291)
Pd (0.812, 0.239, 0.448)
Pd (0.427, 0.239, 0.448)
Pd (0.872, 0.358, 0.088)
Pd (0.485, 0.358, 0.088)
Pd (0.899, 0.799, 0.781)
Pb (0.730, 0.000, 0.000)
Pb (0.270, 0.000, 0.000)



# 6
VASP calculation (PBE) on a geometry-optimized BiPd15Pb4 structure.

For the volume, the calculation gives 348 Å³ per cell. The energy of formation from the pure elements is -285 meV per atom.

Lattice parameters (Å, degrees): 4.115 4.115 20.567 90.00 90.00 90.00
Sites, in units of the cell vectors:
Bi (0.000, 0.000, 0.000)
Pd (0.500, 0.500, 0.000)
Pd (0.500, 0.500, 0.200)
Pd (0.500, 0.500, 0.400)
Pd (0.500, 0.500, 0.600)
Pd (0.500, 0.500, 0.800)
Pd (0.500, 0.000, 0.101)
Pd (0.500, 0.000, 0.300)
Pd (0.500, 0.000, 0.500)
Pd (0.500, 0.000, 0.700)
Pd (0.500, 0.000, 0.899)
Pd (0.000, 0.500, 0.101)
Pd (0.000, 0.500, 0.300)
Pd (0.000, 0.500, 0.500)
Pd (0.000, 0.500, 0.700)
Pd (0.000, 0.500, 0.899)
Pb (0.000, 0.000, 0.202)
Pb (0.000, 0.000, 0.400)
Pb (0.000, 0.000, 0.600)
Pb (0.000, 0.000, 0.798)